This record from Alexandria via LeMat-Bulk describes SrSbTe2Pb after structural relaxation. The functional is GGA-PBEsol.

## Properties
E_tot	-15.687	eV/cell
size of the total moment	0.00	μB per formula unit
ΔE_f (raw)	0.352	eV per atom
space group	P4/mmm (123)
volume	40.92	Å³/atom

Lattice parameters (Å, degrees): 5.9323 5.9323 5.8135 90.00 90.00 90.00
With the nearest neighbours (Å) after each atom.
Fractional coordinates of all 5 atoms:
1 Sr 0.0000 0.0000 0.0000  2 Sb 2.91, 4 Te 2.97
2 Sb 0.0000 0.0000 0.5000  2 Sr 2.91
3 Te 0.0000 0.5000 0.0000  2 Sr 2.97
4 Te 0.5000 0.0000 0.0000  2 Sr 2.97
5 Pb 0.5000 0.5000 0.5000  8 Te 4.15, 4 Sb 4.19